No. 1
First-principles (PBE) data for an optimized crystal structure of TiAlAu, as listed in the Alexandria database.

Results
DOS(E_F): 9.76 states/eV/cell
Crystal system: orthorhombic
SG: No. 62
ΔH_f (0 K): -0.440 eV per atom

extended XYZ file:
```
12
Lattice="3.1538 0.0000 0.0000 0.0000 8.7779 0.0000 0.0000 0.0000 7.3365" Properties=species:S:1:pos:R:3 pbc="T T T"
Ti 0.7885 3.2189 3.8187
Ti 2.3654 5.5590 3.5178
Ti 0.7885 1.1701 0.1505
Ti 2.3654 7.6079 7.1860
Al 0.7885 5.2491 1.1274
Al 2.3654 3.5289 6.2091
Al 0.7885 7.9178 4.7957
Al 2.3654 0.8601 2.5408
Au 0.7885 5.5550 5.8488
Au 2.3654 3.2229 1.4876
Au 0.7885 7.6119 2.1806
Au 2.3654 1.1660 5.1559
```

No. 2
First-principles (PBE) data for an optimized crystal structure of Ti5AlAu6, as listed in the Alexandria database.

Results
DOS(E_F): 10.60 states/eV/cell
Crystal system: orthorhombic
SG: No. 71
ΔH_f (0 K): -0.381 eV per atom

extended XYZ file:
```
12
Lattice="0.6440 4.0940 -1.7203 -0.2215 -2.6405 -6.3667 -6.8083 0.2391 3.8725" Properties=species:S:1:pos:R:3 pbc="T T T"
Au -4.2335 1.9863 -2.7097
Au -4.1129 3.4238 0.7564
Au 0.1500 -0.0026 -5.8023
Au 0.2724 1.4561 -2.2847
Au -2.2730 -1.7313 -4.9709
Au -2.1524 -0.2938 -1.5048
Al 0.0000 0.0000 0.0000
Ti -2.1326 2.4064 -0.9238
Ti -4.5105 0.6603 -0.1169
Ti -0.1108 -1.3203 -3.1834
Ti -1.8755 1.0322 -4.0976
Ti -4.2533 -0.7138 -3.2907
```